First-principles (PBE) data for a relaxed structure of HfThAl2, as listed in Alexandria.

Properties
Density of states at the Fermi level, states/eV/cell: 3.7
Final energy, eV per atom: -6.39
E_form, kJ/mol of formula units: -67
Total magnetization, μB/atom: 0.000

a = 4.358 Å, b = 4.545 Å, c = 4.545 Å
α = 90.00°, β = 90.00°, γ = 90.00°
Atoms (fractional coordinates):
Al 0.000 0.000 0.500
Th 0.500 0.000 0.000
Al 0.000 0.500 0.000
Hf 0.500 0.500 0.500

***

First-principles (PBE) data for a relaxed structure of HfThAl4, as listed in Alexandria.

Properties
Density of states at the Fermi level, states/eV/cell: 4.1
Final energy, eV per atom: -5.74
E_form, kJ/mol of formula units: -201
Total magnetization, μB/atom: 0.000

a = 5.514 Å, b = 5.514 Å, c = 5.514 Å
α = 60.00°, β = 60.00°, γ = 60.00°
Atoms (fractional coordinates):
Al 0.124 0.625 0.625
Al 0.625 0.625 0.625
Al 0.625 0.625 0.124
Al 0.625 0.124 0.625
Hf 0.000 0.000 0.000
Th 0.250 0.250 0.250

***

First-principles (PBE) data for a relaxed structure of Hf2ThAl6, as listed in Alexandria.

Properties
Density of states at the Fermi level, states/eV/cell: 5.4
Final energy, eV per atom: -5.75
E_form, kJ/mol of formula units: -187
Total magnetization, μB/atom: 0.000

a = 4.227 Å, b = 7.657 Å, c = 7.657 Å
α = 53.86°, β = 73.98°, γ = 73.98°
Atoms (fractional coordinates):
Hf 0.883 0.617 0.617
Th 0.000 0.000 0.000
Al 0.689 0.016 0.606
Al 0.311 0.394 0.984
Hf 0.117 0.383 0.383
Al 0.500 0.320 0.680
Al 0.500 0.680 0.320
Al 0.311 0.984 0.394
Al 0.689 0.606 0.016

***

First-principles (PBE) data for a relaxed structure of HfThAl2, as listed in Alexandria.

Properties
Density of states at the Fermi level, states/eV/cell: 4.2
Final energy, eV per atom: -6.25
E_form, kJ/mol of formula units: -15
Total magnetization, μB/atom: 0.000

a = 3.247 Å, b = 3.247 Å, c = 10.114 Å
α = 80.76°, β = 80.76°, γ = 60.00°
Atoms (fractional coordinates):
Al 0.257 0.257 0.229
Th 0.500 0.500 0.500
Al 0.743 0.743 0.771
Hf 0.000 0.000 0.000

***

First-principles (PBE) data for a relaxed structure of HfTh2Al3, as listed in Alexandria.

Properties
Density of states at the Fermi level, states/eV/cell: 10.0
Final energy, eV per atom: -6.07
E_form, kJ/mol of formula units: -37
Total magnetization, μB/atom: 0.000

a = 5.040 Å, b = 8.075 Å, c = 8.075 Å
α = 111.19°, β = 90.00°, γ = 90.00°
Atoms (fractional coordinates):
Al 0.250 0.590 0.590
Hf 0.750 0.096 0.096
Th 0.750 0.552 0.830
Al 0.000 0.184 0.816
Th 0.250 0.170 0.448
Al 0.500 0.816 0.184
Al 0.000 0.816 0.184
Al 0.750 0.410 0.410
Th 0.250 0.448 0.170
Th 0.750 0.830 0.552
Al 0.500 0.184 0.816
Hf 0.250 0.904 0.904

***

First-principles (PBE) data for a relaxed structure of HfThAl2, as listed in Alexandria.

Properties
Density of states at the Fermi level, states/eV/cell: 1.9
Final energy, eV per atom: -6.48
E_form, kJ/mol of formula units: -102
Total magnetization, μB/atom: 0.000

a = 3.221 Å, b = 3.221 Å, c = 8.366 Å
α = 90.00°, β = 90.00°, γ = 90.00°
Atoms (fractional coordinates):
Hf 0.500 0.500 0.000
Th 0.500 0.500 0.500
Al 0.000 0.000 0.776
Al 0.000 0.000 0.224

***

First-principles (PBE) data for a relaxed structure of HfThAlZn, as listed in Alexandria.

Properties
Density of states at the Fermi level, states/eV/cell: 4.1
Final energy, eV per atom: -5.72
E_form, kJ/mol of formula units: -49
Total magnetization, μB/atom: 0.000

a = 4.998 Å, b = 4.998 Å, c = 4.998 Å
α = 60.00°, β = 60.00°, γ = 60.00°
Atoms (fractional coordinates):
Th 0.250 0.250 0.250
Al 0.500 0.500 0.500
Zn 0.000 0.000 0.000
Hf 0.750 0.750 0.750

***

First-principles (PBE) data for a relaxed structure of HfTiAl4, as listed in Alexandria.

Properties
Density of states at the Fermi level, states/eV/cell: 2.9
Final energy, eV per atom: -5.85
E_form, kJ/mol of formula units: -221
Total magnetization, μB/atom: 0.000

a = 5.216 Å, b = 5.216 Å, c = 5.216 Å
α = 60.00°, β = 60.00°, γ = 60.00°
Atoms (fractional coordinates):
Al 0.625 0.625 0.625
Al 0.125 0.625 0.625
Al 0.625 0.125 0.625
Ti 0.000 0.000 0.000
Hf 0.250 0.250 0.250
Al 0.625 0.625 0.125